Entry 1:
## CdSiTc2 (PBE)

Data for an optimized crystal structure of CdSiTc2.

Unit cell a=3.057 b=4.639 c=8.790 alpha=90.00 beta=90.00 gamma=90.00
Space group Immm (No. 71)
Inequivalent atoms, fractional coordinates:
Cd 0.000 0.000 0.000
Si 0.000 0.000 0.500
Tc 0.000 0.500 0.214

Computed properties:
Crystal system: orthorhombic
ΔE_f (raw) (eV per formula unit): 0.686
Energy above the lowest structure with this stoichiometry (eV/f.u.): 0.81
ρ (g cm⁻³): 9.0
Magnetization (μB per cell): 0.00

=====

Entry 2:
## CdSiTc (PBE)

Data for an optimized crystal structure of CdSiTc.

Unit cell a=2.9755 b=2.9755 c=6.6393 alpha=90.00 beta=90.00 gamma=120.00
Space group P3m1 (No. 156)
Inequivalent atoms, fractional coordinates:
Cd 0.0000 0.0000 0.0000
Si 0.3333 0.6667 0.3792
Tc 0.6667 0.3333 0.6375

Computed properties:
Crystal system: trigonal
ΔE_f (raw) (eV per formula unit): 0.646
Energy above the lowest structure with this stoichiometry (eV/f.u.): 0.55
ρ (g cm⁻³): 7.8
Magnetization (μB per cell): 0.00

=====

Entry 3:
## CdSiTc2 (PBE)

Data for an optimized crystal structure of CdSiTc2.

Unit cell a=2.988 b=4.417 c=4.734 alpha=90.00 beta=90.00 gamma=90.00
Space group Pmmm (No. 47)
Inequivalent atoms, fractional coordinates:
Cd 0.000 0.000 0.000
Si 0.500 0.000 0.500
Tc 0.000 0.500 0.500
Tc 0.500 0.500 0.000

Computed properties:
Crystal system: orthorhombic
ΔE_f (raw) (eV per formula unit): 1.826
Energy above the lowest structure with this stoichiometry (eV/f.u.): 1.95
ρ (g cm⁻³): 8.9
Magnetization (μB per cell): 0.00

=====

Entry 4:
## CdSi4Tc (PBE)

Data for an optimized crystal structure of CdSi4Tc.

Unit cell a=7.149 b=7.149 c=7.149 alpha=90.00 beta=90.00 gamma=90.00
Space group F-43m (No. 216)
Inequivalent atoms, fractional coordinates:
Cd 0.000 0.000 0.000
Si 0.124 0.124 0.376
Tc 0.250 0.250 0.750

Computed properties:
Crystal system: cubic
ΔE_f (raw) (eV per formula unit): 3.188
ρ (g cm⁻³): 5.9
Magnetization (μB per cell): 0.00